First-principles (GGA-PBE) data for ZrCd2Fe2 after structural relaxation, as listed in Alexandria via LeMat-Bulk.

Cell lengths 7.626, 7.626, 2.902 Å; angles 90.00, 90.00, 90.00 degrees
Fractional coordinates of all 10 atoms:
Fe (0.172, 0.672, 0.500)
Fe (0.828, 0.328, 0.500)
Fe (0.328, 0.172, 0.500)
Fe (0.672, 0.828, 0.500)
Cd (0.372, 0.872, 0.000)
Cd (0.128, 0.372, 0.000)
Cd (0.628, 0.128, 0.000)
Cd (0.872, 0.628, 0.000)
Zr (0.500, 0.500, 0.000)
Zr (0.000, 0.000, 0.000)

Output
* offset from the most stable computed form: 1.08 eV per formula unit
* ΔE_f: 565 meV per atom
* density: 8418 kg/m³
* total DFT energy (no corrections): -48.96 eV for the cell shown
* symmetry: P4/mbm, No. 127



First-principles (GGA-PBE) data for ZrCdFe3 after structural relaxation, as listed in Alexandria via LeMat-Bulk.

Cell lengths 4.702, 4.702, 4.702 Å; angles 90.00, 90.00, 90.00 degrees
Fractional coordinates of all 5 atoms:
Fe (0.000, 0.500, 0.000)
Fe (0.000, 0.000, 0.500)
Fe (0.500, 0.000, 0.000)
Cd (0.000, 0.000, 0.000)
Zr (0.500, 0.500, 0.500)

Output
* offset from the most stable computed form: 0.07 eV per formula unit
* ΔE_f: 1385 meV per atom
* density: 5930 kg/m³
* total DFT energy (no corrections): -27.93 eV for the cell shown
* symmetry: Pm-3m, No. 221



First-principles (GGA-PBE) data for Cd8Ga3 after structural relaxation, as listed in Alexandria via LeMat-Bulk.

Cell lengths 5.518, 5.518, 12.614 Å; angles 60.59, 60.59, 47.79 degrees
Fractional coordinates of all 11 atoms:
Cd (0.910, 0.910, 0.270)
Cd (0.454, 0.454, 0.640)
Cd (0.360, 0.360, 0.910)
Cd (0.546, 0.546, 0.360)
Cd (0.090, 0.090, 0.730)
Cd (0.640, 0.640, 0.090)
Cd (0.819, 0.819, 0.548)
Cd (0.181, 0.181, 0.452)
Ga (0.288, 0.288, 0.171)
Ga (0.712, 0.712, 0.829)
Ga (0.000, 0.000, 0.000)

Output
* offset from the most stable computed form: 0.00 eV per formula unit
* ΔE_f: 33 meV per atom
* density: 7670 kg/m³
* total DFT energy (no corrections): -16.04 eV for the cell shown
* symmetry: C2/m, No. 12



First-principles (GGA-PBE) data for CdGa6 after structural relaxation, as listed in Alexandria via LeMat-Bulk.

Cell lengths 6.219, 6.219, 6.219 Å; angles 109.47, 109.47, 109.47 degrees
Fractional coordinates of all 7 atoms:
Cd (0.000, 0.000, 0.000)
Ga (0.250, 0.750, 0.500)
Ga (0.750, 0.250, 0.500)
Ga (0.500, 0.250, 0.750)
Ga (0.750, 0.500, 0.250)
Ga (0.250, 0.500, 0.750)
Ga (0.500, 0.750, 0.250)

Output
* offset from the most stable computed form: 1.85 eV per formula unit
* ΔE_f: 305 meV per atom
* density: 4760 kg/m³
* total DFT energy (no corrections): -16.94 eV for the cell shown
* symmetry: Im-3m, No. 229



First-principles (GGA-PBE) data for CdGa after structural relaxation, as listed in Alexandria via LeMat-Bulk.

Cell lengths 8.164, 8.164, 8.164 Å; angles 90.00, 90.00, 90.00 degrees
Fractional coordinates of all 16 atoms:
Cd (0.301, 0.699, 0.699)
Cd (0.699, 0.699, 0.301)
Cd (0.699, 0.301, 0.699)
Cd (0.801, 0.199, 0.199)
Cd (0.301, 0.301, 0.301)
Cd (0.801, 0.801, 0.801)
Cd (0.199, 0.199, 0.801)
Cd (0.199, 0.801, 0.199)
Ga (0.121, 0.121, 0.121)
Ga (0.621, 0.621, 0.621)
Ga (0.621, 0.379, 0.379)
Ga (0.379, 0.379, 0.621)
Ga (0.379, 0.621, 0.379)
Ga (0.879, 0.121, 0.879)
Ga (0.121, 0.879, 0.879)
Ga (0.879, 0.879, 0.121)

Output
* offset from the most stable computed form: 0.53 eV per formula unit
* ΔE_f: 308 meV per atom
* density: 4447 kg/m³
* total DFT energy (no corrections): -26.61 eV for the cell shown
* symmetry: I-43m, No. 217



First-principles (GGA-PBE) data for Cd3Ga2 after structural relaxation, as listed in Alexandria via LeMat-Bulk.

Cell lengths 8.016, 8.016, 6.130 Å; angles 49.17, 49.17, 60.00 degrees
Fractional coordinates of all 10 atoms:
Ga (0.111, 0.111, 0.666)
Ga (0.611, 0.611, 0.166)
Ga (0.389, 0.389, 0.834)
Ga (0.889, 0.889, 0.334)
Cd (0.051, 0.750, 0.750)
Cd (0.551, 0.949, 0.250)
Cd (0.250, 0.551, 0.250)
Cd (0.750, 0.449, 0.750)
Cd (0.449, 0.051, 0.750)
Cd (0.949, 0.250, 0.250)

Output
* offset from the most stable computed form: 0.25 eV per formula unit
* ΔE_f: 76 meV per atom
* density: 7077 kg/m³
* total DFT energy (no corrections): -16.84 eV for the cell shown
* symmetry: R-3c, No. 167



First-principles (GGA-PBE) data for CdGa after structural relaxation, as listed in Alexandria via LeMat-Bulk.

Cell lengths 4.045, 4.045, 4.045 Å; angles 60.00, 60.00, 60.00 degrees
Fractional coordinates of all 2 atoms:
Ga (0.500, 0.500, 0.500)
Cd (0.000, 0.000, 0.000)

Output
* offset from the most stable computed form: 0.26 eV per formula unit
* ΔE_f: 173 meV per atom
* density: 6461 kg/m³
* total DFT energy (no corrections): -3.60 eV for the cell shown
* symmetry: Fm-3m, No. 225



First-principles (GGA-PBE) data for CdGa after structural relaxation, as listed in Alexandria via LeMat-Bulk.

Cell lengths 7.725, 7.725, 7.725 Å; angles 90.00, 90.00, 90.00 degrees
Fractional coordinates of all 12 atoms:
Cd (0.000, 0.500, 0.750)
Cd (0.000, 0.500, 0.250)
Cd (0.750, 0.000, 0.500)
Cd (0.250, 0.000, 0.500)
Cd (0.500, 0.250, 0.000)
Cd (0.500, 0.750, 0.000)
Ga (0.500, 0.000, 0.750)
Ga (0.000, 0.750, 0.500)
Ga (0.750, 0.500, 0.000)
Ga (0.500, 0.000, 0.250)
Ga (0.250, 0.500, 0.000)
Ga (0.000, 0.250, 0.500)

Output
* offset from the most stable computed form: 0.84 eV per formula unit
* ΔE_f: 463 meV per atom
* density: 3936 kg/m³
* total DFT energy (no corrections): -18.09 eV for the cell shown
* symmetry: Pm-3n, No. 223



First-principles (GGA-PBE) data for Cd13Ga3 after structural relaxation, as listed in Alexandria via LeMat-Bulk.

Cell lengths 7.866, 7.866, 5.833 Å; angles 90.00, 90.00, 89.85 degrees
Fractional coordinates of all 16 atoms:
Cd (0.508, 0.993, 0.249)
Cd (0.256, 0.239, 0.500)
Cd (0.007, 0.492, 0.751)
Cd (0.508, 0.993, 0.751)
Cd (0.007, 0.492, 0.249)
Cd (0.237, 0.763, 0.500)
Cd (0.255, 0.242, 0.000)
Cd (0.758, 0.745, 0.000)
Cd (0.746, 0.254, 0.500)
Cd (0.241, 0.759, 0.000)
Cd (0.761, 0.744, 0.500)
Cd (0.495, 0.505, 0.250)
Cd (0.495, 0.505, 0.750)
Ga (0.990, 0.010, 0.246)
Ga (0.990, 0.010, 0.754)
Ga (0.746, 0.254, 0.000)

Output
* ΔE_f: 33 meV per atom
* density: 7686 kg/m³
* total DFT energy (no corrections): -20.46 eV for the cell shown
* symmetry: Amm2, No. 38



First-principles (GGA-PBE) data for CdGa after structural relaxation, as listed in Alexandria via LeMat-Bulk.

Cell lengths 11.808, 3.293, 6.767 Å; angles 90.00, 90.00, 90.00 degrees
Fractional coordinates of all 12 atoms:
Cd (0.178, 0.500, 0.184)
Cd (0.822, 0.500, 0.184)
Cd (0.500, 0.500, 0.447)
Cd (0.322, 0.000, 0.684)
Cd (0.000, 0.000, 0.947)
Cd (0.678, 0.000, 0.684)
Ga (0.000, 0.000, 0.388)
Ga (0.124, 0.500, 0.650)
Ga (0.500, 0.500, 0.888)
Ga (0.876, 0.500, 0.650)
Ga (0.376, 0.000, 0.150)
Ga (0.624, 0.000, 0.150)

Output
* offset from the most stable computed form: 0.05 eV per formula unit
* ΔE_f: 68 meV per atom
* density: 6896 kg/m³
* total DFT energy (no corrections): -22.84 eV for the cell shown
* symmetry: Imm2, No. 44



First-principles (GGA-PBE) data for CdGa2 after structural relaxation, as listed in Alexandria via LeMat-Bulk.

Cell lengths 5.628, 5.628, 5.628 Å; angles 60.00, 60.00, 60.00 degrees
Fractional coordinates of all 6 atoms:
Ga (0.625, 0.625, 0.625)
Ga (0.625, 0.125, 0.625)
Ga (0.125, 0.625, 0.625)
Ga (0.625, 0.625, 0.125)
Cd (0.000, 0.000, 0.000)
Cd (0.250, 0.250, 0.250)

Output
* ΔE_f: 84 meV per atom
* density: 6637 kg/m³
* total DFT energy (no corrections): -13.44 eV for the cell shown
* symmetry: Fd-3m, No. 227



First-principles (GGA-PBE) data for Cd6Ga after structural relaxation, as listed in Alexandria via LeMat-Bulk.

Cell lengths 6.877, 6.877, 6.877 Å; angles 109.47, 109.47, 109.47 degrees
Fractional coordinates of all 7 atoms:
Cd (0.250, 0.500, 0.750)
Cd (0.500, 0.250, 0.750)
Cd (0.750, 0.500, 0.250)
Cd (0.750, 0.250, 0.500)
Cd (0.250, 0.750, 0.500)
Cd (0.500, 0.750, 0.250)
Ga (0.000, 0.000, 0.000)

Output
* offset from the most stable computed form: 2.62 eV per formula unit
* ΔE_f: 459 meV per atom
* density: 4936 kg/m³
* total DFT energy (no corrections): -5.31 eV for the cell shown
* symmetry: Im-3m, No. 229



Calculated magnetic moment in order - 0.024; 7.293; 0.000; 0.000; 0.000; 0.000; 0.000; 0.000; 0.000; 0.000; 0.000; 0.000 μB per formula unit